1.
DFT (GGA-PBEsol) results for an optimized crystal structure of TeRuS2Cl.

Results
SG	P4/mmm (123)
raw formation energy	6.02	eV per formula unit
D(E_F)	5.97	states/eV/cell

a b c (Å): 5.033 5.011 5.011
angles (deg): 90.00 90.00 90.00
Atoms (fractional coordinates):
Te1 0.000 0.000 0.000
S1 0.000 0.000 0.500
Ru1 0.500 0.500 0.500
S2 0.000 0.500 0.000
Cl1 0.500 0.000 0.000



2.
DFT (GGA-PBEsol) results for an optimized crystal structure of ZnRuSCl2.

Results
SG	P4/mmm (123)
raw formation energy	3.04	eV per formula unit
D(E_F)	5.21	states/eV/cell

a b c (Å): 4.582 4.582 4.832
angles (deg): 90.00 90.00 90.00
Atoms (fractional coordinates):
Cl1 0.000 0.500 0.000
Cl2 0.500 0.000 0.000
Ru1 0.500 0.500 0.500
Zn1 0.000 0.000 0.000
S1 0.000 0.000 0.500



3.
DFT (GGA-PBEsol) results for an optimized crystal structure of SbRu2Cl.

Results
SG	Pmm2 (25)
raw formation energy	1.16	eV per formula unit
energy above the lowest structure with this stoichiometry	0.000	eV/atom
D(E_F)	3.95	states/eV/cell

a b c (Å): 2.997 3.810 5.629
angles (deg): 90.00 90.00 90.00
Atoms (fractional coordinates):
Cl1 0.500 0.500 0.848
Sb1 0.000 0.000 0.454
Ru1 0.500 0.500 0.248
Ru2 0.000 0.000 0.951



4.
DFT (GGA-PBEsol) results for an optimized crystal structure of SbRu2Cl.

Results
SG	R-3m (166)
raw formation energy	1.31	eV per formula unit
energy above the lowest structure with this stoichiometry	0.037	eV/atom
D(E_F)	3.35	states/eV/cell

a b c (Å): 3.079 3.079 8.003
angles (deg): 78.91 78.91 60.00
Atoms (fractional coordinates):
Cl1 0.000 0.000 0.000
Sb1 0.500 0.500 0.500
Ru1 0.250 0.250 0.251
Ru2 0.750 0.750 0.749



5.
DFT (GGA-PBEsol) results for an optimized crystal structure of Sb2Ru2Cl.

Results
SG	I4/mmm (139)
raw formation energy	1.73	eV per formula unit
D(E_F)	3.75	states/eV/cell

a b c (Å): 4.437 4.437 6.075
angles (deg): 111.42 111.42 90.00
Atoms (fractional coordinates):
Ru1 0.615 0.615 0.230
Sb1 0.250 0.750 0.500
Ru2 0.385 0.385 0.770
Cl1 0.000 0.000 0.000
Sb2 0.750 0.250 0.500



6.
DFT (GGA-PBEsol) results for an optimized crystal structure of Sb2RuCl.

Results
SG	Amm2 (38)
raw formation energy	-0.15	eV per formula unit
D(E_F)	1.66	states/eV/cell

a b c (Å): 3.612 5.188 5.316
angles (deg): 119.21 90.00 90.00
Atoms (fractional coordinates):
Ru1 0.500 0.755 0.511
Cl1 0.000 0.560 0.121
Sb1 0.000 0.945 0.890
Sb2 0.500 0.238 0.476



Final energy per entry: -18.45; -17.12; -25.75; -25.60; -29.73; -21.45 eV/cell